[1]
A plane-wave DFT calculation with PBE-GGA was carried out for a relaxed structure of Ag8Ru.

Cell lengths 6.504, 6.504, 6.504 Å; angles 95.85, 95.85, 142.78 degrees
Sites, in units of the cell vectors:
Ag (0.331, 0.000, 0.331)
Ag (0.669, 0.000, 0.669)
Ag (0.000, 0.669, 0.669)
Ag (0.336, 0.664, 0.000)
Ag (0.664, 0.664, 0.328)
Ag (0.000, 0.331, 0.331)
Ag (0.336, 0.336, 0.672)
Ag (0.664, 0.336, 0.000)
Ru (0.000, 0.000, 0.000)

---

[2]
A plane-wave DFT calculation with PBE-GGA was carried out for a relaxed structure of CdRhPb2O8.

Computed properties:
The calculation puts the energy relative to the elements, uncorrected at -62.49 kJ/mol of atoms.

Cell lengths 4.996, 4.860, 6.819 Å; angles 90.00, 90.00, 90.60 degrees
Sites, in units of the cell vectors:
Cd (0.000, 0.000, 0.500)
Rh (0.000, 0.000, 0.000)
Pb (0.500, 0.500, 0.753)
Pb (0.500, 0.500, 0.247)
O (0.163, 0.796, 0.213)
O (0.686, 0.736, 0.000)
O (0.837, 0.204, 0.213)
O (0.837, 0.204, 0.787)
O (0.314, 0.264, 0.000)
O (0.163, 0.796, 0.787)
O (0.673, 0.710, 0.500)
O (0.327, 0.290, 0.500)

---

[3]
A plane-wave DFT calculation with PBE-GGA was carried out for a relaxed structure of Ba2NpUN5.

Computed properties:
The calculation puts the energy relative to the elements, uncorrected at -93.65 kJ/mol of atoms.

Cell lengths 3.657, 7.234, 13.318 Å; angles 90.00, 90.00, 104.64 degrees
Sites, in units of the cell vectors:
Ba (0.836, 0.672, 0.801)
Ba (0.073, 0.146, 0.671)
Ba (0.164, 0.328, 0.301)
Ba (0.927, 0.854, 0.171)
Np (0.527, 0.053, 0.942)
Np (0.473, 0.947, 0.442)
U (0.776, 0.551, 0.532)
U (0.224, 0.449, 0.032)
N (0.371, 0.741, 0.990)
N (0.685, 0.371, 0.934)
N (0.488, 0.976, 0.798)
N (0.260, 0.520, 0.629)
N (0.931, 0.863, 0.528)
N (0.629, 0.259, 0.490)
N (0.315, 0.629, 0.434)
N (0.512, 0.024, 0.298)
N (0.740, 0.480, 0.129)
N (0.069, 0.137, 0.028)

---

[4]
A plane-wave DFT calculation with PBE-GGA was carried out for a relaxed structure of RbPa2TcO8.

Computed properties:
The calculation puts the energy relative to the elements, uncorrected at -244.10 kJ/mol of atoms.

Cell lengths 5.122, 5.032, 7.175 Å; angles 90.02, 90.02, 87.72 degrees
Sites, in units of the cell vectors:
Rb (0.000, 0.000, 0.500)
Pa (0.500, 0.500, 0.753)
Pa (0.500, 0.500, 0.247)
Tc (0.000, 0.000, 0.000)
O (0.188, 0.789, 0.188)
O (0.698, 0.714, 0.000)
O (0.812, 0.211, 0.188)
O (0.812, 0.211, 0.812)
O (0.302, 0.286, 0.000)
O (0.188, 0.789, 0.812)
O (0.627, 0.693, 0.500)
O (0.373, 0.307, 0.500)

---

[5]
A plane-wave DFT calculation with PBE-GGA was carried out for a relaxed structure of ZrPaHgC.

Cell lengths 3.367, 3.367, 8.247 Å; angles 90.00, 101.79, 119.99 degrees
Sites, in units of the cell vectors:
Zr (0.522, 0.159, 0.697)
Pa (0.083, 0.940, 0.038)
Hg (0.982, 0.389, 0.386)
C (0.291, 0.543, 0.849)

---

[6]
A plane-wave DFT calculation with PBE-GGA was carried out for a relaxed structure of BeAlCl3.

Computed properties:
For the relative energy among the computed polymorphs, the calculation gives 0.00 kcal/mol of atoms. The calculation puts the energy relative to the elements, uncorrected at -63.07 kJ/mol of atoms.

Cell lengths 4.598, 4.598, 4.598 Å; angles 90.00, 90.00, 90.00 degrees
Sites, in units of the cell vectors:
Be (0.000, 0.000, 0.000)
Al (0.500, 0.500, 0.500)
Cl (0.000, 0.500, 0.000)
Cl (0.000, 0.000, 0.500)
Cl (0.500, 0.000, 0.000)

---

| no. | raw total energy (eV per atom) |
| --- | --- |
| 1 | -3.310 |
| 2 | -5.260 |
| 3 | -8.715 |
| 4 | -8.363 |
| 5 | -7.283 |
| 6 | -3.255 |